PmY2Er2 after structural relaxation. Source: Alexandria via LeMat-Bulk, functional PBE.

Properties
Crystal system = tetragonal
Energy relative to the lowest polymorph listed for this composition = 0 meV/atom
Space-group type = No. 127
Energy of formation = 0.43 eV per formula unit

a b c (Å): 9.3873 9.3873 3.7238
angles (deg): 90.00 90.00 90.00
With the nearest neighbours (Å) after each atom.
Positions (direct):
Er 0.3755 0.1245 0.0000  6 Y 3.28-3.38, 1 Er 3.31
Er 0.8755 0.3755 0.0000  6 Y 3.28-3.38, 1 Er 3.31
Er 0.6245 0.8755 0.0000  6 Y 3.28-3.38, 1 Er 3.31
Er 0.1245 0.6245 0.0000  6 Y 3.28-3.38, 1 Er 3.31
Y 0.1725 0.3275 0.5000  6 Er 3.28-3.38
Y 0.6725 0.1725 0.5000  6 Er 3.28-3.38
Y 0.8275 0.6725 0.5000  6 Er 3.28-3.38
Y 0.3275 0.8275 0.5000  6 Er 3.28-3.38
Pm 0.0000 0.0000 0.0000  4 Er 3.71, 2 Pm 3.72, 8 Y 3.94
Pm 0.5000 0.5000 0.0000  4 Er 3.71, 2 Pm 3.72, 8 Y 3.94

Tb2Pm2Sc after structural relaxation. Source: Alexandria via LeMat-Bulk, functional PBE.

Properties
Crystal system = monoclinic
Energy relative to the lowest polymorph listed for this composition = 0 meV/atom
Space-group type = No. 12
Energy of formation = 0.49 eV per formula unit

a b c (Å): 8.6553 9.0502 6.4056
angles (deg): 69.72 47.50 59.13
With the nearest neighbours (Å) after each atom.
Positions (direct):
Tb 0.7361 0.9208 0.0000  6 Pm 3.46-3.74, 3 Tb 3.54-3.66, 2 Sc 3.61
Tb 0.4047 0.3833 0.0000  3 Tb 3.28-3.66, 4 Sc 3.44-3.62, 4 Pm 3.47-3.61
Tb 0.2639 0.0792 0.0000  6 Pm 3.46-3.74, 3 Tb 3.54-3.66, 2 Sc 3.61
Tb 0.5953 0.6167 0.0000  3 Tb 3.28-3.66, 4 Sc 3.44-3.62, 4 Pm 3.47-3.61
Pm 0.9576 0.7875 0.3696  2 Sc 3.21-3.41, 2 Pm 3.34-3.49, 3 Tb 3.46-3.54
Pm 0.0424 0.2125 0.6304  2 Sc 3.21-3.41, 2 Pm 3.34-3.49, 3 Tb 3.46-3.54
Pm 0.6728 0.2125 0.3696  2 Sc 3.21-3.41, 2 Pm 3.34-3.49, 3 Tb 3.46-3.54
Pm 0.3272 0.7875 0.6304  2 Sc 3.21-3.41, 2 Pm 3.34-3.49, 3 Tb 3.46-3.54
Sc 0.1585 0.5000 0.6830  1 Sc 2.99, 2 Pm 3.21
Sc 0.8415 0.5000 0.3170  1 Sc 2.99, 2 Pm 3.21

MgPaZnCo after structural relaxation. Source: Alexandria via LeMat-Bulk, functional PBE.

Properties
Crystal system = cubic
Space-group type = No. 216
Energy of formation = -0.02 eV per formula unit

a b c (Å): 4.6752 4.6752 4.6752
angles (deg): 60.00 60.00 60.00
With the nearest neighbours (Å) after each atom.
Positions (direct):
Co 0.5000 0.5000 0.5000  4 Pa 2.86, 4 Mg 2.86
Pa 0.2500 0.2500 0.2500  4 Zn 2.86, 4 Co 2.86
Zn 0.0000 0.0000 0.0000  4 Mg 2.86, 4 Pa 2.86
Mg 0.7500 0.7500 0.7500  4 Co 2.86, 4 Zn 2.86

KSb4Ir after structural relaxation. Source: Alexandria via LeMat-Bulk, functional PBE.

Properties
Crystal system = cubic
ΔE_f (raw) = 645 meV per atom
Space-group type = No. 216

a b c (Å): 6.1982 6.1982 6.1982
angles (deg): 60.00 60.00 60.00
With the nearest neighbours (Å) after each atom.
Positions (direct):
Sb 0.8717 0.3761 0.3761  6 Sb 3.07-3.13
Sb 0.3761 0.3761 0.3761  6 Sb 3.07-3.13
Sb 0.3761 0.8717 0.3761  6 Sb 3.07-3.13
Sb 0.3761 0.3761 0.8717  6 Sb 3.07-3.13
Ir 0.7500 0.7500 0.7500  12 Sb 3.63, 4 K 3.80
K 0.0000 0.0000 0.0000  12 Sb 3.64, 4 Ir 3.80

MgMnAl2 after structural relaxation. Source: Alexandria via LeMat-Bulk, functional PBE.

Properties
Crystal system = tetragonal
Space-group type = No. 123
Energy of formation = -0.18 eV per formula unit

a b c (Å): 3.9989 3.9978 3.9599
angles (deg): 90.00 90.00 90.00
With the nearest neighbours (Å) after each atom.
Positions (direct):
Mn 0.0000 0.5000 0.5000  8 Al 2.81, 4 Mg 2.83
Al 0.0000 0.0000 0.0000  4 Mn 2.81, 4 Mg 2.81, 4 Al 2.83
Al 0.5000 0.5000 0.0000  4 Mg 2.81, 4 Mn 2.81, 4 Al 2.83
Mg 0.5000 0.0000 0.5000  8 Al 2.81, 4 Mn 2.83

KSc2Cd after structural relaxation. Source: Alexandria via LeMat-Bulk, functional PBE.

Properties
Crystal system = cubic
Space-group type = No. 216
Energy of formation = 2.01 eV per formula unit

a b c (Å): 5.4318 5.4318 5.4318
angles (deg): 60.00 60.00 60.00
With the nearest neighbours (Å) after each atom.
Positions (direct):
Cd 0.5000 0.5000 0.5000  4 Sc 3.33, 4 K 3.33
Sc 0.2500 0.2500 0.2500  4 Cd 3.33, 4 Sc 3.33
Sc 0.0000 0.0000 0.0000  4 K 3.33, 4 Sc 3.33
K 0.7500 0.7500 0.7500  4 Sc 3.33, 4 Cd 3.33

no.,total magnetization (μB/cell)
1,0.0
2,0.0
3,0.0
4,1.5
5,2.8
6,0.0